(1)
# Ce2BiSe5

A relaxed Ce2BiSe5 crystal (GGA-PBE, Alexandria).

```
Ce2BiSe5
1.0
2.864 -7.024 0.000
2.864 7.024 0.000
0.000 0.000 14.093
Ce Bi Se
4 2 10
direct
0.146 0.854 0.560 Ce
0.146 0.854 0.940 Ce
0.854 0.146 0.060 Ce
0.854 0.146 0.440 Ce
0.197 0.803 0.250 Bi
0.803 0.197 0.750 Bi
0.048 0.952 0.117 Se
0.048 0.952 0.383 Se
0.243 0.757 0.750 Se
0.315 0.685 0.066 Se
0.315 0.685 0.434 Se
0.685 0.315 0.566 Se
0.685 0.315 0.934 Se
0.757 0.243 0.250 Se
0.952 0.048 0.617 Se
0.952 0.048 0.883 Se
```

Output
ΔE to the lowest computed polymorph   40 meV/atom
Uncorrected formation energy   -9.90 eV/f.u.
Electronic total energy   -5.384 eV/atom

(2)
# Ce5Bi4Se

A relaxed Ce5Bi4Se crystal (GGA-PBE, Alexandria).

```
Ce5Bi4Se
1.0
-5.057 5.057 3.213
5.057 -5.057 3.213
5.057 5.057 -3.213
Ce Bi Se
5 4 1
direct
0.000 0.000 0.000 Ce
0.213 0.598 0.812 Ce
0.402 0.213 0.615 Ce
0.598 0.787 0.385 Ce
0.787 0.402 0.188 Ce
0.095 0.303 0.398 Bi
0.303 0.905 0.208 Bi
0.697 0.095 0.792 Bi
0.905 0.697 0.602 Bi
0.500 0.500 0.000 Se
```

Output
Uncorrected formation energy   -9.71 eV/f.u.
Electronic total energy   -5.839 eV/atom

(3)
# Ce6BiSe12

A relaxed Ce6BiSe12 crystal (GGA-PBE, Alexandria).

```
Ce6BiSe12
1.0
6.468 3.734 3.942
-6.468 3.734 3.942
0.000 -7.469 3.942
Ce Bi Se
6 1 12
direct
0.120 0.805 0.636 Ce
0.195 0.364 0.880 Ce
0.364 0.880 0.195 Ce
0.636 0.120 0.805 Ce
0.805 0.636 0.120 Ce
0.880 0.195 0.364 Ce
0.500 0.500 0.500 Bi
0.070 0.922 0.323 Se
0.078 0.677 0.930 Se
0.171 0.440 0.554 Se
0.323 0.070 0.922 Se
0.440 0.554 0.171 Se
0.446 0.829 0.560 Se
0.554 0.171 0.440 Se
0.560 0.446 0.829 Se
0.677 0.930 0.078 Se
0.829 0.560 0.446 Se
0.922 0.323 0.070 Se
0.930 0.078 0.677 Se
```

Output
Uncorrected formation energy   -29.07 eV/f.u.
Electronic total energy   -5.809 eV/atom

Among the records above, which one has the highest uncorrected formation energy? Ce5Bi4Se